DFT (GGA-PBE) results for a geometry-optimized Cs2Tl3Cd4Pb structure.

Lattice parameters (Å, degrees): 5.355 5.355 12.482 90.00 90.00 90.00
Space group P-4m2 (No. 115)
Asymmetric unit:
Cs1 0.000 0.500 0.247 x2
Tl1 0.000 0.500 0.879 x2
Tl2 0.500 0.500 0.500 x1
Cd1 0.000 0.000 0.000 x1
Cd2 0.000 0.500 0.629 x2
Cd3 0.500 0.500 0.000 x1
Pb1 0.000 0.000 0.500 x1

Results
Volume = 35.80 Å³ per atom
Crystal system = tetragonal
E_tot = -1.67 eV per atom
Formation enthalpy at 0 K = -50 meV per atom
Magnetic moment = 0.00 μB/cell

***

DFT (GGA-PBE) results for a geometry-optimized CsV2CdPb structure.

Lattice parameters (Å, degrees): 5.431 5.431 6.076 90.00 90.00 90.00
Space group P4/mmm (No. 123)
Asymmetric unit:
Cs1 0.000 0.000 0.000 x1
V1 0.000 0.500 0.000 x2
Cd1 0.000 0.000 0.500 x1
Pb1 0.500 0.500 0.500 x1

Results
Volume = 35.84 Å³ per atom
Crystal system = tetragonal
E_tot = -2.71 eV per atom
Formation enthalpy at 0 K = 2036 meV per atom
Magnetic moment = 8.21 μB/cell

***

DFT (GGA-PBE) results for a geometry-optimized Cs2ZnCd3Pb4 structure.

Lattice parameters (Å, degrees): 5.142 5.142 12.875 90.00 90.00 90.00
Space group P-4m2 (No. 115)
Asymmetric unit:
Cs1 0.000 0.500 0.241 x2
Zn1 0.500 0.500 0.000 x1
Cd1 0.000 0.000 0.000 x1
Cd2 0.000 0.500 0.641 x2
Pb1 0.000 0.000 0.500 x1
Pb2 0.000 0.500 0.879 x2
Pb3 0.500 0.500 0.500 x1

Results
Volume = 34.04 Å³ per atom
Crystal system = tetragonal
E_tot = -2.11 eV per atom
Formation enthalpy at 0 K = -59 meV per atom
Magnetic moment = 0.00 μB/cell